The following is a PBE+U calculation of a relaxed AlV2RuF crystal, from Alexandria via LeMat-Bulk.

volume = 83.9 Å³/f.u.
DFT total energy = -4.962 eV per atom

Geometry as POSCAR:
```
AlV2RuF
1.0
4.9376 0.0000 0.0000
0.0000 4.9376 0.0000
0.0000 0.0000 3.4396
Al V Ru F
1 2 1 1
Cartesian
0.0000 0.0000 0.0000
0.0000 2.4688 0.0000
2.4688 0.0000 0.0000
2.4688 2.4688 1.7198
0.0000 0.0000 1.7198
```